First-principles (PBE-GGA) data for La8CoTc2 after structural relaxation, as listed in the Alexandria database.

Calculated values
energy of formation: -0.02 eV per atom

POSCAR file:
```
La8CoTc2
1.0
-1.561 -0.081 -3.735
-3.487 -7.950 1.631
-7.028 4.633 5.031
La Co Tc
8 1 2
direct
0.596 0.550 0.193
0.348 0.044 0.695
0.221 0.330 0.442
0.989 0.799 0.978
0.779 0.670 0.558
0.652 0.956 0.305
0.404 0.450 0.807
0.011 0.201 0.022
0.500 0.000 0.000
0.170 0.700 0.340
0.830 0.300 0.660
```

---

First-principles (PBE-GGA) data for La2CoTc after structural relaxation, as listed in the Alexandria database.

Calculated values
energy above the most stable polymorph in this dataset: 0.000 eV/atom
energy of formation: 0.00 eV per atom

POSCAR file:
```
La2CoTc
1.0
-5.395 5.246 -1.257
-5.320 2.847 -4.669
-7.360 1.566 -1.263
Co La Tc
1 2 1
direct
0.205 0.205 0.205
0.964 0.964 0.964
0.787 0.787 0.787
0.545 0.545 0.545
```

---

First-principles (PBE-GGA) data for LaCoTc2 after structural relaxation, as listed in the Alexandria database.

Calculated values
energy above the most stable polymorph in this dataset: 0.000 eV/atom
energy of formation: 0.13 eV per atom

POSCAR file:
```
LaCoTc2
1.0
-0.374 3.329 2.636
-0.906 -0.634 4.117
4.687 0.617 3.333
Co La Tc
1 1 2
direct
0.441 0.441 0.678
0.251 0.251 0.246
0.054 0.054 0.839
0.754 0.754 0.737
```